Density functional theory data (PBE-GGA) for crystalline Sn5Sb4P at its relaxed geometry.

Cell lengths 4.370, 4.370, 23.054 Å; angles 84.56, 84.56, 60.00 degrees
Atoms (fractional coordinates):
Sn1 0.990 0.990 0.031
Sn2 0.603 0.603 0.191
Sn3 0.199 0.199 0.402
Sn4 0.799 0.799 0.604
Sn5 0.402 0.402 0.793
Sb1 0.553 0.553 0.341
Sb2 0.152 0.152 0.543
Sb3 0.756 0.756 0.731
Sb4 0.343 0.343 0.972
P1 0.953 0.953 0.142

Results
**Space-group type**: R3m (160)
**Formation energy without anion corrections**: 120.6 meV per atom

Density functional theory data (PBE-GGA) for crystalline SnSb2P at its relaxed geometry.

Cell lengths 5.913, 5.913, 8.626 Å; angles 69.96, 69.96, 90.00 degrees
Atoms (fractional coordinates):
Sb1 0.577 0.125 0.250
Sb2 0.173 0.625 0.250
Sb3 0.375 0.423 0.750
Sb4 0.875 0.827 0.750
Sn1 0.000 0.000 0.000
Sn2 0.750 0.250 0.500
P1 0.500 0.500 0.000
P2 0.250 0.750 0.500

Results
**Space-group type**: I-42d (122)
**Formation energy without anion corrections**: 288.3 meV per atom
**Energy above the lowest structure with this stoichiometry**: 0.0 kJ/mol of atoms